Record 1
# RbTlCdSe2

RbTlCdSe2 after structural relaxation (PBE, Alexandria).

Calculated values
DOS at the Fermi energy ... 0.00 states/eV/f.u.
Formation energy from raw total energies ... -0.735 eV/atom

abc: 18.0575 4.4872 10.2731
angles: 90.00 120.66 90.00
Closest atoms and distances in Å follow each position.
Space group C2/m (No. 12)
Unique sites:
Rb1 0.2363 0.0000 0.2745 x4  5 Se 3.48-3.51
Tl1 0.0839 0.5000 0.8934 x4  3 Se 3.06
Cd1 0.0616 0.0000 0.4242 x4  4 Se 2.71-2.77
Se1 0.1091 0.5000 0.3371 x4  2 Cd 2.71
Se2 0.1163 0.0000 0.7260 x4  2 Cd 2.73-2.77, 2 Tl 3.06

Record 2
# AcPmZn

AcPmZn after structural relaxation (PBE, Alexandria).

Calculated values
Energy of formation from the pure elements ... 0.048 eV per atom
DOS at the Fermi energy ... 5.60 states/eV/f.u.
Relative energy among the computed polymorphs ... 213 meV/atom

abc: 7.4313 7.4313 7.4313
angles: 90.00 90.00 90.00
Closest atoms and distances in Å follow each position.
Space group F-43m (No. 216)
Unique sites:
Ac1 0.0000 0.0000 0.0000 x4  4 Zn 3.22
Pm1 0.0000 0.0000 0.5000 x4  4 Zn 3.22
Zn1 0.2500 0.2500 0.7500 x4  4 Pm 3.22, 4 Ac 3.22

Record 3
# AcHo2ErS4

AcHo2ErS4 after structural relaxation (PBE, Alexandria).

Calculated values
DOS at the Fermi energy ... 4.56 states/eV/f.u.
Formation energy from raw total energies ... -1.927 eV/atom

abc: 6.8977 3.9304 7.0171
angles: 90.00 108.70 90.00
Closest atoms and distances in Å follow each position.
Space group P2/m (No. 10)
Unique sites:
Ac1 0.0000 0.0000 0.0000 x1  6 S 2.94-2.95
Ho1 0.5000 0.0000 0.5000 x1  6 S 2.70-2.71
Ho2 0.5000 0.5000 0.0000 x1  6 S 2.84-2.85
Er1 0.0000 0.5000 0.5000 x1  6 S 2.81-2.82
S1 0.2580 0.0000 0.7377 x2  3 Ho 2.71-2.84, 2 Er 2.81, 1 Ac 2.94
S2 0.2700 0.5000 0.2724 x2  3 Ho 2.70-2.85, 1 Er 2.82, 2 Ac 2.95

Record 4
# TlZnW2Cl

TlZnW2Cl after structural relaxation (PBE, Alexandria).

Calculated values
DOS at the Fermi energy ... 3.78 states/eV/f.u.
Formation energy from raw total energies ... 2.452 eV/atom

abc: 5.3950 5.3950 5.5449
angles: 90.00 90.00 90.00
Closest atoms and distances in Å follow each position.
Space group P4/mmm (No. 123)
Unique sites:
Tl1 0.0000 0.0000 0.0000 x1  4 W 2.70, 2 Cl 2.77
Zn1 0.5000 0.5000 0.5000 x1  4 Cl 3.81, 8 W 3.87
W1 0.0000 0.5000 0.0000 x2  2 Tl 2.70
Cl1 0.0000 0.0000 0.5000 x1  2 Tl 2.77